# 1
Entry from OQMD: a relaxed LuZnInTe3 crystal (PBE).

## Properties
Offset from the most stable computed form   0.021 eV/atom
Theoretical density   6.3 g cm⁻³

Lattice parameters (Å, degrees): 8.679 4.307 11.089 90.00 109.10 90.00
Element x y z (fractional)
Te  0.058  0.250  0.844
Zn  0.079  0.250  0.610
Zn  0.921  0.750  0.390
Lu  0.690  0.250  0.145
Te  0.238  0.750  0.558
Te  0.441  0.750  0.141
Lu  0.310  0.750  0.855
In  0.730  0.750  0.710
In  0.270  0.250  0.290
Te  0.762  0.250  0.442
Te  0.559  0.250  0.859
Te  0.942  0.750  0.156

# 2
Entry from OQMD: a relaxed KSrTa crystal (PBE).

## Properties
Offset from the most stable computed form   0.000 eV/atom
Theoretical density   3.6 g cm⁻³

Lattice parameters (Å, degrees): 5.837 5.837 5.837 60.00 60.00 60.00
Element x y z (fractional)
Sr  0.750  0.750  0.750
K  0.250  0.250  0.250
Ta  0.000  0.000  0.000

# 3
Entry from OQMD: a relaxed GdPdNO crystal (PBE).

## Properties
Offset from the most stable computed form   0.301 eV/atom
Theoretical density   9.0 g cm⁻³

Lattice parameters (Å, degrees): 3.993 5.174 5.222 90.00 90.00 90.00
Element x y z (fractional)
O  0.500  0.902  0.677
N  0.000  0.305  0.566
N  0.000  0.695  0.066
O  0.500  0.098  0.177
Pd  0.500  0.666  0.994
Gd  0.000  0.222  0.008
Pd  0.500  0.334  0.494
Gd  0.000  0.778  0.508

# 4
Entry from OQMD: a relaxed AgHgSeO crystal (PBE).

## Properties
Offset from the most stable computed form   0.068 eV/atom
Theoretical density   8.8 g cm⁻³

Lattice parameters (Å, degrees): 6.304 7.973 6.036 90.00 90.00 90.00
Element x y z (fractional)
Se  0.030  0.329  0.621
O  0.487  0.924  0.129
Ag  0.249  0.077  0.878
Hg  0.925  0.349  0.121
Hg  0.575  0.349  0.621
Se  0.970  0.671  0.121
Ag  0.751  0.923  0.378
O  0.013  0.924  0.629
Hg  0.075  0.651  0.621
Se  0.470  0.329  0.121
Ag  0.749  0.923  0.878
Hg  0.425  0.651  0.121
O  0.987  0.076  0.129
O  0.513  0.076  0.629
Ag  0.251  0.077  0.378
Se  0.530  0.671  0.621

# 5
Entry from OQMD: a relaxed ScCuOs crystal (PBE).

## Properties
Offset from the most stable computed form   0.124 eV/atom
Theoretical density   10.7 g cm⁻³

Lattice parameters (Å, degrees): 3.257 3.257 8.759 90.00 90.00 90.00
Element x y z (fractional)
Os  0.500  0.500  0.693
Os  0.500  0.500  0.307
Sc  0.500  0.500  0.000
Sc  0.000  0.000  0.500
Cu  0.000  0.000  0.176
Cu  0.000  0.000  0.824

# 6
Entry from OQMD: a relaxed TmGe crystal (PBE).

## Properties
Calculated total energy   -4.3807 eV/atom
Theoretical density   6.0 g cm⁻³

Lattice parameters (Å, degrees): 4.547 4.547 4.547 60.00 60.00 60.00
Element x y z (fractional)
Tm  0.250  0.250  0.250
Ge  0.000  0.000  0.000

# 7
Entry from OQMD: a relaxed TlMo6S8 crystal (PBE).

## Properties
Calculated total energy   -7.3465 eV/atom
Theoretical density   6.0 g cm⁻³

Lattice parameters (Å, degrees): 6.610 6.610 6.610 89.01 89.01 89.01
Element x y z (fractional)
S  0.392  0.735  0.125
S  0.245  0.245  0.245
S  0.608  0.265  0.875
Mo  0.775  0.437  0.588
Tl  0.000  0.000  0.000
Mo  0.588  0.775  0.437
Mo  0.437  0.588  0.775
Mo  0.563  0.412  0.225
Mo  0.412  0.225  0.563
Mo  0.225  0.563  0.412
S  0.735  0.125  0.392
S  0.265  0.875  0.608
S  0.125  0.392  0.735
S  0.755  0.755  0.755
S  0.875  0.608  0.265

# 8
Entry from OQMD: a relaxed Dy2ErBi3 crystal (PBE).

## Properties
Calculated total energy   -5.1783 eV/atom
Theoretical density   9.9 g cm⁻³

Lattice parameters (Å, degrees): 4.445 4.445 10.960 90.00 90.00 120.00
Element x y z (fractional)
Dy  0.667  0.333  0.167
Bi  0.333  0.667  0.334
Dy  0.333  0.667  0.833
Bi  0.667  0.333  0.666
Er  0.000  0.000  0.500
Bi  0.000  0.000  0.000

# 9
Entry from OQMD: a relaxed AgHgSeO crystal (PBE).

## Properties
Offset from the most stable computed form   0.017 eV/atom
Theoretical density   8.4 g cm⁻³

Lattice parameters (Å, degrees): 6.976 5.451 8.343 90.00 90.00 90.00
Element x y z (fractional)
Hg  0.751  0.735  0.512
O  0.492  0.184  0.136
O  0.508  0.684  0.364
Se  0.982  0.774  0.200
Ag  0.898  0.244  0.600
Hg  0.749  0.265  0.012
Hg  0.251  0.765  0.488
Ag  0.398  0.257  0.400
Ag  0.102  0.744  0.900
O  0.992  0.316  0.864
O  0.008  0.816  0.636
Hg  0.249  0.235  0.988
Se  0.018  0.274  0.300
Ag  0.602  0.757  0.100
Se  0.482  0.726  0.800
Se  0.518  0.226  0.700

# 10
Entry from OQMD: a relaxed Zr3Tl2Cu2Se8 crystal (PBE).

## Properties
Calculated total energy   -5.3522 eV/atom
Theoretical density   6.3 g cm⁻³

Lattice parameters (Å, degrees): 7.712 7.712 14.532 113.33 113.33 28.87
Element x y z (fractional)
Zr  0.343  0.343  0.120
Se  0.979  0.979  0.148
Se  0.646  0.646  0.689
Se  0.701  0.701  0.081
Se  0.894  0.894  0.544
Se  0.106  0.106  0.456
Se  0.354  0.354  0.311
Se  0.021  0.021  0.852
Cu  0.955  0.955  0.303
Tl  0.663  0.663  0.298
Cu  0.045  0.045  0.697
Tl  0.337  0.337  0.702
Zr  0.657  0.657  0.880
Zr  0.500  0.500  0.500
Se  0.299  0.299  0.919